[1]
A plane-wave DFT calculation with PBE+U was carried out for crystalline LiNiPO4 at its relaxed geometry.

Structure (extended XYZ):
```
28
Lattice="4.706 -2.137 -0.098 -2.967 -2.271 -6.732 3.122 6.868 -2.970" Properties=species:S:1:pos:R:3 pbc="T T T"
P 0.695 -0.350 -1.706
O 3.622 0.585 -4.383
O 1.322 0.771 -0.827
O -0.597 1.510 -7.177
Ni 3.156 -1.253 -3.791
Li -0.728 -1.799 -5.837
O 0.919 4.537 -7.608
O 3.942 -2.077 -2.191
P 0.378 0.812 -6.160
O 5.402 2.418 -4.626
Li 5.589 4.259 -3.963
Li 1.839 1.506 -3.508
O 1.239 1.875 -5.416
O 3.476 2.572 -2.955
O 1.034 -2.703 -5.882
O 1.384 -0.112 -6.845
P 4.166 2.811 -8.094
O 5.457 0.950 -2.623
Li 3.021 0.955 -6.292
O 1.528 -0.466 -3.006
O 3.827 5.163 -3.918
P 4.482 1.648 -3.640
Ni 2.636 4.292 -2.437
Ni 1.705 3.713 -6.009
O -0.541 0.042 -5.173
O 3.539 1.689 -8.972
O 3.332 2.926 -6.794
Ni 2.225 -1.832 -7.363
```

* DFT total energy: -0.4564 Ry per atom
* energy relative to the lowest polymorph listed for this composition: 0.45 eV/f.u.
* volume: 11.23 Å³ per atom

[2]
A plane-wave DFT calculation with PBE+U was carried out for crystalline Li3Ni2P3O12 at its relaxed geometry.

Structure (extended XYZ):
```
40
Lattice="-0.681 -4.343 7.772 6.993 -1.819 5.246 1.337 3.875 7.932" Properties=species:S:1:pos:R:3 pbc="T T T"
Li 3.279 1.896 8.157
O 6.946 -2.887 9.742
O 0.978 -1.820 6.721
O 6.325 -1.222 7.644
P 6.668 -3.141 11.236
Ni 4.966 -1.485 13.600
P 4.917 1.643 12.397
O 1.347 -3.691 9.192
P 5.831 0.222 7.874
P 2.732 -3.930 8.553
O 6.115 -1.867 11.899
O 4.311 0.262 8.112
O 6.302 1.405 11.758
Li 2.659 0.213 13.898
O 0.703 0.601 11.208
Ni 2.683 -0.802 7.350
O 3.338 -2.549 12.838
O 1.073 -3.099 11.863
O 6.576 0.812 9.087
Li 0.479 -2.012 8.752
O 5.674 -4.316 11.363
O 4.258 0.316 12.815
O 3.391 -2.603 8.135
P 0.981 0.854 9.714
Li 4.370 -4.183 12.793
O 1.975 2.029 9.587
O 3.779 -0.962 15.231
O 1.534 -0.420 9.051
O 2.112 1.064 6.622
Li 7.170 -0.274 12.198
Li 4.990 -2.500 7.052
Ni 1.096 -0.328 3.002
O 1.324 -1.065 13.306
O 4.025 2.386 11.383
Ni 6.553 -1.959 17.948
O 6.671 -0.467 14.229
O 3.870 -1.325 5.719
O 3.624 -4.673 9.566
O 5.537 -3.351 14.328
P 1.818 -2.509 13.075
```

* DFT total energy: -0.4579 Ry per atom
* energy relative to the lowest polymorph listed for this composition: 0.00 eV/f.u.
* volume: 11.59 Å³ per atom

[3]
A plane-wave DFT calculation with PBE+U was carried out for crystalline LiNiPO4 at its relaxed geometry.

Structure (extended XYZ):
```
56
Lattice="4.931 0.000 0.000 0.000 9.879 0.000 0.000 0.000 14.093" Properties=species:S:1:pos:R:3 pbc="T T T"
O 0.438 7.671 6.543
Li 2.665 2.245 10.570
O 4.493 2.731 6.543
P 4.730 7.747 12.301
O 0.352 7.088 11.006
P 4.730 7.072 5.254
O 4.579 2.149 11.006
O 4.280 4.926 1.729
Ni 4.715 9.583 3.486
Ni 4.715 5.236 10.533
O 2.145 0.408 10.070
Li 0.313 9.615 7.010
Li 2.266 7.634 3.523
O 2.785 5.348 10.070
O 2.152 4.548 0.442
Li 2.665 2.694 3.523
O 0.438 7.148 13.590
Li 4.618 0.265 14.056
O 0.117 9.270 12.287
O 2.145 4.532 3.023
O 0.352 7.731 3.959
O 2.779 9.487 0.442
Li 4.618 4.675 7.010
O 2.516 1.751 1.752
O 4.280 0.014 8.775
O 1.735 2.386 5.275
Li 0.313 5.204 14.056
O 4.814 0.610 5.241
O 3.196 7.494 12.321
O 0.651 9.866 1.729
O 2.785 9.471 3.023
O 0.651 4.954 8.775
O 2.779 5.332 7.489
Ni 0.216 0.296 10.533
Ni 2.317 7.216 7.037
P 2.744 9.646 8.786
Ni 0.216 4.643 3.486
O 4.579 2.791 3.959
P 2.187 0.234 1.740
P 0.201 2.132 5.254
Ni 2.614 2.276 7.037
O 2.516 3.189 8.799
O 2.152 0.392 7.489
P 2.187 4.706 8.786
Ni 2.317 7.603 14.083
O 4.814 4.330 12.287
O 0.117 5.549 5.241
Ni 2.614 2.663 14.083
Li 2.266 7.185 10.570
O 2.415 8.128 8.799
O 1.735 2.554 12.321
P 0.201 2.808 12.301
O 2.415 6.691 1.752
P 2.744 5.173 1.740
O 4.493 2.208 13.590
O 3.196 7.325 5.275
```

* DFT total energy: -0.4585 Ry per atom
* energy relative to the lowest polymorph listed for this composition: 0.24 eV/f.u.
* volume: 12.26 Å³ per atom

[4]
A plane-wave DFT calculation with PBE+U was carried out for crystalline LiNiPO4 at its relaxed geometry.

Structure (extended XYZ):
```
42
Lattice="8.396 0.000 0.000 -4.198 7.271 0.000 0.000 0.000 7.407" Properties=species:S:1:pos:R:3 pbc="T T T"
Ni 0.000 0.000 1.134
Li 6.953 2.315 6.710
O 2.892 1.253 2.537
Li 1.283 2.407 3.006
O -1.802 5.262 1.344
O 0.361 3.131 6.241
O 5.865 1.878 2.537
Ni 4.198 2.424 5.923
O 1.176 1.051 7.405
O 4.520 5.728 7.405
P 1.332 6.995 0.025
O 5.478 3.413 7.374
O 0.542 3.080 1.344
O -1.280 3.858 3.670
O -0.322 1.544 3.701
O 1.260 6.200 1.344
P 3.004 4.651 3.729
O 3.837 4.140 2.537
O 6.898 0.493 7.405
Ni 0.000 0.000 4.837
O -2.700 6.778 3.701
P -2.526 4.927 0.025
Li 1.472 7.179 3.006
Li 2.726 0.092 6.710
O 1.497 4.234 3.670
Li -2.755 4.956 3.006
Ni 0.000 4.847 2.219
Ni 0.000 4.847 5.163
O 2.938 1.071 5.047
P 6.724 2.344 3.729
O 3.022 6.220 3.701
Ni 4.198 2.424 1.459
O 1.306 6.018 6.241
O 2.701 3.037 7.374
P 2.866 0.276 3.729
O -1.667 5.393 6.241
O 6.000 2.009 5.047
P 1.194 2.620 0.025
O 4.415 0.821 7.374
Li 2.915 4.864 6.710
O -0.217 6.450 3.670
O 3.656 4.191 5.047
```

* DFT total energy: -0.4567 Ry per atom
* energy relative to the lowest polymorph listed for this composition: 0.41 eV/f.u.
* volume: 10.77 Å³ per atom

[5]
A plane-wave DFT calculation with PBE+U was carried out for crystalline LiNiPO4 at its relaxed geometry.

Structure (extended XYZ):
```
28
Lattice="5.963 -0.035 -0.006 1.059 6.253 -0.030 0.903 2.414 8.920" Properties=species:S:1:pos:R:3 pbc="T T T"
Li 2.784 1.406 2.373
Li 5.140 7.225 6.511
O 4.793 6.922 8.444
O 3.350 7.144 5.608
Li 3.395 4.652 2.911
O 4.574 1.488 3.276
O 2.030 2.453 7.993
Ni 5.531 4.160 0.560
P 5.629 2.639 3.357
O 5.135 3.892 2.552
O 5.894 6.178 0.891
Ni 2.393 4.472 8.324
O 2.372 6.439 8.876
P 2.295 5.993 5.527
P 2.570 5.124 0.008
O 3.131 1.710 0.440
O 0.970 2.062 2.771
O 2.789 4.740 6.332
Li 4.529 3.980 5.974
P 5.354 3.508 8.877
Ni 0.838 2.234 6.359
O 5.552 2.193 0.008
O 2.111 5.524 4.057
O 5.228 2.988 7.419
O 2.696 5.644 1.465
O 5.813 3.108 4.827
Ni 7.086 6.398 2.525
O 6.954 6.570 6.114
```

* DFT total energy: -0.4562 Ry per atom
* energy relative to the lowest polymorph listed for this composition: 0.46 eV/f.u.
* volume: 11.90 Å³ per atom

[6]
A plane-wave DFT calculation with PBE+U was carried out for crystalline LiNiPO4 at its relaxed geometry.

Structure (extended XYZ):
```
28
Lattice="-0.239 1.890 4.620 3.337 -4.660 2.079 9.387 5.868 -1.916" Properties=species:S:1:pos:R:3 pbc="T T T"
O 6.389 -0.859 1.658
O 8.272 1.014 3.417
Li 7.697 5.214 -0.409
O 8.422 1.855 0.428
P 6.136 5.240 2.236
P 9.501 2.951 0.643
P 2.984 0.153 4.154
O 4.117 0.825 3.330
Ni 7.948 0.316 1.580
O 3.201 -1.393 4.139
O 7.459 5.645 1.531
Li 4.791 -2.133 5.150
O 10.922 2.299 0.600
Ni 9.318 5.565 2.206
O 2.974 2.972 1.963
O 9.603 -0.594 1.061
O 9.308 3.615 2.027
O 4.271 1.630 0.255
O 1.597 0.538 3.542
Li 4.575 0.085 1.528
O 3.268 -1.236 0.997
O 6.130 3.696 2.484
P 6.349 -2.136 2.561
Ni 4.543 2.745 3.113
Ni 3.172 -2.504 2.487
O 9.342 4.036 -0.468
O 5.079 -2.966 2.228
Li 7.913 2.996 3.213
```

* DFT total energy: -0.4562 Ry per atom
* energy relative to the lowest polymorph listed for this composition: 0.46 eV/f.u.
* volume: 12.23 Å³ per atom

[7]
A plane-wave DFT calculation with PBE+U was carried out for crystalline LiNiPO4 at its relaxed geometry.

Structure (extended XYZ):
```
28
Lattice="-2.262 3.158 -2.689 -2.676 -4.400 -2.915 -7.643 0.219 6.687" Properties=species:S:1:pos:R:3 pbc="T T T"
O -9.749 -2.408 3.068
O -5.802 -2.694 -0.127
O -1.995 0.675 0.810
Ni -2.422 3.114 -2.478
O -9.023 0.186 1.999
Ni -7.858 -2.657 -0.787
O -6.881 1.122 1.113
O -8.717 -3.298 0.971
O -3.041 -1.397 -1.106
Li -3.713 0.530 -0.402
Li -8.661 2.223 1.600
O -5.429 0.390 -1.614
P -4.608 0.736 -2.888
O -3.186 1.187 -2.381
Li -5.051 -1.668 -1.862
Ni -9.883 -0.456 3.757
O -10.851 -1.864 0.765
Li -7.740 -3.132 2.831
P -10.076 -2.891 1.604
P -7.664 -0.221 1.366
O -4.381 2.463 0.303
O -8.183 0.165 4.772
O -7.992 -0.704 -0.097
P -2.815 0.330 2.084
O -6.890 -1.248 2.205
O -4.297 -0.639 -3.591
O -4.237 -0.121 1.578
Ni -5.001 -2.048 1.675
```

* DFT total energy: -0.4610 Ry per atom
* energy relative to the lowest polymorph listed for this composition: 0.00 eV/f.u.
* volume: 10.14 Å³ per atom

[8]
A plane-wave DFT calculation with PBE+U was carried out for crystalline LiNi3P3O11 at its relaxed geometry.

Structure (extended XYZ):
```
72
Lattice="9.025 0.000 0.000 0.000 7.737 -0.034 0.000 1.579 11.114" Properties=species:S:1:pos:R:3 pbc="T T T"
P 0.719 7.502 9.973
Ni 1.077 4.652 1.730
P 5.232 2.603 6.664
Ni 1.219 4.916 4.744
Ni 7.894 1.735 8.236
Ni 5.644 0.946 2.679
P 6.132 6.564 8.826
P 8.408 2.289 3.917
Li 1.673 1.358 0.191
O 8.879 3.415 4.853
O 2.100 2.112 7.886
O 8.992 5.733 3.146
O 0.145 5.900 6.227
P 7.405 5.774 3.269
O 2.348 6.314 1.620
O 0.228 6.526 8.723
O 0.032 3.583 7.935
O 8.796 2.789 2.357
O 8.896 8.307 6.922
O 6.635 6.027 10.235
O 4.641 7.518 1.365
O 4.615 1.232 6.897
Ni 5.732 3.611 0.779
O 4.741 3.579 7.914
Li 6.186 7.168 5.333
P 2.893 2.752 2.254
P 5.129 3.078 9.475
O 8.912 4.029 10.976
O 4.284 5.737 3.166
P 3.793 6.713 4.416
O 4.658 4.205 10.410
O 4.384 1.798 9.715
O 4.399 6.076 5.662
O 2.256 3.742 3.269
P 3.896 6.237 1.606
Ni 7.806 4.400 6.336
Ni 1.131 7.581 2.845
O 4.545 6.522 8.703
Ni 5.589 3.874 3.793
O 2.123 4.078 6.402
O 0.129 1.008 4.158
O 0.102 8.873 9.741
O 6.770 2.648 6.702
Ni 3.293 5.705 10.302
P 8.306 1.813 1.107
O 2.255 6.667 4.379
O 6.768 1.859 1.145
P 1.620 3.541 7.811
Ni 7.948 4.664 9.351
O 2.390 3.289 0.845
O 2.412 1.322 2.329
O 6.769 4.784 2.254
O 4.410 8.083 4.184
O 4.367 5.111 0.670
O 6.677 3.001 9.461
O 2.256 4.532 8.827
Ni 3.436 5.442 7.287
O 0.113 5.287 0.105
O 4.480 2.793 2.377
P 0.617 7.027 7.163
O 4.625 3.239 5.419
Li 2.839 2.147 5.748
O 2.164 7.104 7.177
O 8.923 0.443 1.339
O 6.925 7.204 3.194
Li 7.352 7.958 10.890
O 6.861 2.212 3.904
O 2.257 7.457 9.936
O 6.902 5.237 4.678
O 6.769 5.573 7.811
Ni 3.381 8.370 8.402
O 6.613 7.993 8.752
```

* DFT total energy: -0.4650 Ry per atom
* energy relative to the lowest polymorph listed for this composition: 0.75 eV/f.u.
* volume: 10.78 Å³ per atom

[9]
A plane-wave DFT calculation with PBE+U was carried out for crystalline LiNiPO4 at its relaxed geometry.

Structure (extended XYZ):
```
14
Lattice="-2.017 0.829 -5.104 -3.461 -3.828 -2.272 -5.428 1.380 -0.649" Properties=species:S:1:pos:R:3 pbc="T T T"
O -7.141 -1.446 -3.448
P -6.833 0.069 -3.324
O -8.317 -1.111 -5.947
O -5.551 0.269 -2.412
O -4.429 -2.269 -3.268
O -6.477 0.650 -4.756
Li -3.722 1.104 -2.876
O -5.355 -1.888 -5.612
Ni -4.444 -1.224 -1.460
O -2.589 -0.508 -2.077
P -4.073 -1.688 -4.700
Li -2.714 0.690 -0.324
O -3.764 -0.173 -4.576
Ni 0.000 0.000 0.000
```

* DFT total energy: -0.4553 Ry per atom
* energy relative to the lowest polymorph listed for this composition: 0.55 eV/f.u.
* volume: 9.10 Å³ per atom

[10]
A plane-wave DFT calculation with PBE+U was carried out for crystalline LiNiPO4 at its relaxed geometry.

Structure (extended XYZ):
```
28
Lattice="5.653 0.000 0.000 0.000 5.653 0.000 0.000 0.000 7.986" Properties=species:S:1:pos:R:3 pbc="T T T"
Ni 4.310 2.826 5.990
Ni 2.826 4.310 3.993
O 5.491 1.435 2.101
O 0.162 1.435 5.885
O 5.491 4.217 1.892
O 4.215 2.723 3.911
O 2.723 4.215 6.072
O 4.217 0.162 3.889
Li 5.653 4.359 3.993
O 1.435 5.491 7.882
O 2.930 4.215 1.914
P 1.434 4.219 6.988
Ni 2.826 1.343 7.986
Li 1.294 0.000 1.997
O 4.217 5.491 0.105
P 1.434 1.434 4.992
O 4.215 2.930 0.082
P 4.219 1.434 2.995
Li 0.000 1.294 0.000
O 2.930 1.438 2.079
O 1.438 2.930 7.904
O 1.435 0.162 4.098
O 0.162 4.217 6.095
Ni 1.343 2.826 1.997
O 2.723 1.438 5.908
O 1.438 2.723 4.075
Li 4.359 0.000 5.990
P 4.219 4.219 0.998
```

* DFT total energy: -0.4555 Ry per atom
* energy relative to the lowest polymorph listed for this composition: 0.53 eV/f.u.
* volume: 9.11 Å³ per atom

Please write out number 6 again, unchanged.
A plane-wave DFT calculation with PBE+U was carried out for crystalline LiNiPO4 at its relaxed geometry.

Structure (extended XYZ):
```
28
Lattice="-0.239 1.890 4.620 3.337 -4.660 2.079 9.387 5.868 -1.916" Properties=species:S:1:pos:R:3 pbc="T T T"
O 6.389 -0.859 1.658
O 8.272 1.014 3.417
Li 7.697 5.214 -0.409
O 8.422 1.855 0.428
P 6.136 5.240 2.236
P 9.501 2.951 0.643
P 2.984 0.153 4.154
O 4.117 0.825 3.330
Ni 7.948 0.316 1.580
O 3.201 -1.393 4.139
O 7.459 5.645 1.531
Li 4.791 -2.133 5.150
O 10.922 2.299 0.600
Ni 9.318 5.565 2.206
O 2.974 2.972 1.963
O 9.603 -0.594 1.061
O 9.308 3.615 2.027
O 4.271 1.630 0.255
O 1.597 0.538 3.542
Li 4.575 0.085 1.528
O 3.268 -1.236 0.997
O 6.130 3.696 2.484
P 6.349 -2.136 2.561
Ni 4.543 2.745 3.113
Ni 3.172 -2.504 2.487
O 9.342 4.036 -0.468
O 5.079 -2.966 2.228
Li 7.913 2.996 3.213
```

* DFT total energy: -0.4562 Ry per atom
* energy relative to the lowest polymorph listed for this composition: 0.46 eV/f.u.
* volume: 12.23 Å³ per atom

Look up the DFT total energy of the ninth one. -0.4553 Ry per atom